Entry 1:
First-principles (PBE) data for an optimized crystal structure of PmZnNi3, as listed in the Alexandria database.

For the energy relative to the elements, the calculation gives -0.187 eV per atom. The space-group type is Imma, No. 74. Its offset from the most stable computed form is 83 meV/atom.

a b c (Å): 6.2489 6.2489 6.2489
angles (deg): 132.94 114.43 84.56
Last column: nearest neighbours and their distance in Å.
Fractional coordinates of all 10 atoms:
1 Pm 0.0000 0.0000 0.0000  10 Ni 2.85-3.12, 4 Zn 3.03
2 Pm 0.5000 0.0000 0.5000  10 Ni 2.85-3.12, 4 Zn 3.03
3 Zn 0.2778 0.5278 0.7500  6 Ni 2.40-2.63
4 Zn 0.7222 0.4722 0.2500  6 Ni 2.40-2.63
5 Ni 0.1323 0.6956 0.4366  2 Zn 2.42-2.63, 5 Ni 2.51-2.69
6 Ni 0.2410 0.3044 0.9366  2 Zn 2.42-2.63, 5 Ni 2.51-2.69
7 Ni 0.5000 0.0000 0.0000  2 Zn 2.40, 6 Ni 2.49-2.51
8 Ni 0.5000 0.5000 0.5000  2 Zn 2.40, 6 Ni 2.49-2.51
9 Ni 0.7590 0.6956 0.0634  2 Zn 2.42-2.63, 5 Ni 2.51-2.69
10 Ni 0.8677 0.3044 0.5634  2 Zn 2.42-2.63, 5 Ni 2.51-2.69

***

Entry 2:
First-principles (PBE) data for an optimized crystal structure of Pm3In3Ga2Hg, as listed in the Alexandria database.

For the energy relative to the elements, the calculation gives -0.514 eV per atom. The space-group type is P-62m, No. 189.

a b c (Å): 7.6014 7.6014 4.5189
angles (deg): 90.00 90.00 120.00
Last column: nearest neighbours and their distance in Å.
Fractional coordinates of all 9 atoms:
1 Pm 0.0000 0.5897 0.0000  1 Hg 3.12, 4 Ga 3.22, 2 In 3.37
2 Pm 0.4103 0.4103 0.0000  1 Hg 3.12, 4 Ga 3.22, 2 In 3.37
3 Pm 0.5897 0.0000 0.0000  1 Hg 3.12, 4 Ga 3.22, 2 In 3.37
4 In 0.0000 0.2614 0.5000  2 Ga 2.85, 2 Hg 3.01
5 In 0.2614 0.0000 0.5000  2 Ga 2.85, 2 Hg 3.01
6 In 0.7386 0.7386 0.5000  2 Ga 2.85, 2 Hg 3.01
7 Ga 0.3333 0.6667 0.5000  3 In 2.85
8 Ga 0.6667 0.3333 0.5000  3 In 2.85
9 Hg 0.0000 0.0000 0.0000  6 In 3.01, 3 Pm 3.12

***

Entry 3:
First-principles (PBE) data for an optimized crystal structure of Nb2InReBr, as listed in the Alexandria database.

For the formation energy (no corrections), the calculation gives 1.27 eV per atom. The space-group type is P4/mmm, No. 123.

a b c (Å): 4.7283 4.7283 4.6436
angles (deg): 90.00 90.00 90.00
Last column: nearest neighbours and their distance in Å.
Fractional coordinates of all 5 atoms:
1 Nb 0.0000 0.5000 0.0000  2 Br 2.36
2 Nb 0.5000 0.0000 0.0000  2 Br 2.36
3 In 0.0000 0.0000 0.5000  8 Nb 3.31, 4 Re 3.34
4 Re 0.5000 0.5000 0.5000  2 Br 2.32
5 Br 0.5000 0.5000 0.0000  2 Re 2.32, 4 Nb 2.36

***

Entry 4:
First-principles (PBE) data for an optimized crystal structure of La6Tl2IrRh, as listed in the Alexandria database.

For the energy relative to the elements, the calculation gives -0.414 eV per atom. The space-group type is Pmmn, No. 59.

a b c (Å): 7.8959 11.1787 7.8788
angles (deg): 90.00 90.00 90.00
Last column: nearest neighbours and their distance in Å.
Fractional coordinates of all 20 atoms:
1 La 0.0072 0.2500 0.0142  1 Ir 2.78, 1 Rh 2.80
2 La 0.0066 0.7500 0.4856  1 Rh 2.78, 1 Ir 2.81
3 La 0.2500 0.0000 0.7470  1 Ir 2.79, 1 Rh 2.80
4 La 0.2500 0.5000 0.7470  1 Ir 2.79, 1 Rh 2.80
5 La 0.4928 0.2500 0.0142  1 Ir 2.78, 1 Rh 2.80
6 La 0.4934 0.7500 0.4856  1 Rh 2.78, 1 Ir 2.81
7 La 0.5066 0.2500 0.5144  1 Rh 2.78, 1 Ir 2.81
8 La 0.5072 0.7500 0.9858  1 Ir 2.78, 1 Rh 2.80
9 La 0.7500 0.0000 0.2530  1 Ir 2.79, 1 Rh 2.80
10 La 0.7500 0.5000 0.2530  1 Ir 2.79, 1 Rh 2.80
11 La 0.9934 0.2500 0.5144  1 Rh 2.78, 1 Ir 2.81
12 La 0.9928 0.7500 0.9858  1 Ir 2.78, 1 Rh 2.80
13 Tl 0.2500 0.0005 0.2512  12 La 3.87-4.04
14 Tl 0.2500 0.4995 0.2512  12 La 3.87-4.04
15 Tl 0.7500 0.9995 0.7488  12 La 3.87-4.04
16 Tl 0.7500 0.5005 0.7488  12 La 3.87-4.04
17 Ir 0.2500 0.7500 0.7456  6 La 2.78-2.81
18 Ir 0.7500 0.2500 0.2544  6 La 2.78-2.81
19 Rh 0.2500 0.2500 0.7552  6 La 2.78-2.80
20 Rh 0.7500 0.7500 0.2448  6 La 2.78-2.80

***

Entry 5:
First-principles (PBE) data for an optimized crystal structure of NbVPt5, as listed in the Alexandria database.

For the energy relative to the elements, the calculation gives -0.422 eV per atom. The space-group type is C2/c, No. 15.

a b c (Å): 4.9299 4.9299 9.8405
angles (deg): 101.99 101.99 98.20
Last column: nearest neighbours and their distance in Å.
Fractional coordinates of all 14 atoms:
1 Nb 0.1996 0.8004 0.7500  9 Pt 2.70-2.87
2 Nb 0.8004 0.1996 0.2500  9 Pt 2.70-2.87
3 V 0.0000 0.5000 0.0000  6 Pt 2.56-2.77
4 V 0.5000 0.0000 0.5000  6 Pt 2.56-2.77
5 Pt 0.0774 0.2782 0.5456  5 Pt 2.65-2.77, 2 V 2.72-2.88, 2 Nb 2.82-2.87
6 Pt 0.1628 0.8372 0.2500  2 V 2.56, 6 Pt 2.65-2.78, 1 Nb 2.70
7 Pt 0.2782 0.0774 0.0456  5 Pt 2.65-2.77, 2 V 2.72-2.88, 2 Nb 2.82-2.87
8 Pt 0.3757 0.4093 0.3548  7 Pt 2.74-3.04, 2 Nb 2.75-2.77, 2 V 2.77-2.88
9 Pt 0.4093 0.3757 0.8548  7 Pt 2.74-3.04, 2 Nb 2.75-2.77, 2 V 2.77-2.88
10 Pt 0.5907 0.6243 0.1452  7 Pt 2.74-3.04, 2 Nb 2.75-2.77, 2 V 2.77-2.88
11 Pt 0.6243 0.5907 0.6452  7 Pt 2.74-3.04, 2 Nb 2.75-2.77, 2 V 2.77-2.88
12 Pt 0.7218 0.9226 0.9544  5 Pt 2.65-2.77, 2 V 2.72-2.88, 2 Nb 2.82-2.87
13 Pt 0.8372 0.1628 0.7500  2 V 2.56, 6 Pt 2.65-2.78, 1 Nb 2.70
14 Pt 0.9226 0.7218 0.4544  5 Pt 2.65-2.77, 2 V 2.72-2.88, 2 Nb 2.82-2.87

***

Entry 6:
First-principles (PBE) data for an optimized crystal structure of Dy6Ho2Tm3Tl, as listed in the Alexandria database.

For the energy relative to the elements, the calculation gives -0.013 eV per atom. The space-group type is C2/m, No. 12.

a b c (Å): 6.0624 6.0624 11.5747
angles (deg): 95.04 95.04 120.06
Last column: nearest neighbours and their distance in Å.
Fractional coordinates of all 12 atoms:
1 Dy 0.0827 0.4128 0.7492  6 Dy 3.47-3.52, 1 Tl 3.47, 2 Ho 3.49, 3 Tm 3.49-3.51
2 Dy 0.2473 0.2473 0.2493  6 Dy 3.47-3.52, 3 Tm 3.48-3.50, 1 Tl 3.49, 2 Ho 3.50
3 Dy 0.4128 0.0827 0.7492  6 Dy 3.47-3.52, 1 Tl 3.47, 2 Ho 3.49, 3 Tm 3.49-3.51
4 Dy 0.5872 0.9173 0.2508  6 Dy 3.47-3.52, 1 Tl 3.47, 2 Ho 3.49, 3 Tm 3.49-3.51
5 Dy 0.7527 0.7527 0.7507  6 Dy 3.47-3.52, 3 Tm 3.48-3.50, 1 Tl 3.49, 2 Ho 3.50
6 Dy 0.9173 0.5872 0.2508  6 Dy 3.47-3.52, 1 Tl 3.47, 2 Ho 3.49, 3 Tm 3.49-3.51
7 Ho 0.3342 0.6658 0.5000  3 Ho 3.48-3.51, 6 Dy 3.49-3.50, 3 Tl 3.49-3.51
8 Ho 0.6658 0.3342 0.5000  3 Ho 3.48-3.51, 6 Dy 3.49-3.50, 3 Tl 3.49-3.51
9 Tm 0.1669 0.8331 0.0000  6 Dy 3.48-3.51, 6 Tm 3.50-3.51
10 Tm 0.5000 0.5000 0.0000  6 Dy 3.49-3.50, 6 Tm 3.50
11 Tm 0.8331 0.1669 0.0000  6 Dy 3.48-3.51, 6 Tm 3.50-3.51
12 Tl 0.0000 0.0000 0.5000  6 Dy 3.47-3.49, 6 Ho 3.49-3.51